w) Computed, not measured: Dy3Cu after structural relaxation at the GGA-PBE level of DFT.

a = 3.6253 Å, b = 5.2636 Å, c = 6.3871 Å
α = 114.33°, β = 106.49°, γ = 90.00°
Element x y z (fractional)
Cu1 0.0000 0.9197 0.0000
Dy1 0.2943 0.7099 0.5886
Dy2 0.5000 0.4158 0.0000
Dy3 0.7057 0.1213 0.4114

Properties
Space-group type: No. 44

***

x) Computed, not measured: Dy3Cu after structural relaxation at the GGA-PBE level of DFT.

a = 3.5950 Å, b = 3.4914 Å, c = 9.0875 Å
α = 90.00°, β = 90.00°, γ = 90.00°
Element x y z (fractional)
Cu1 0.0000 0.0000 0.9910
Dy1 0.0000 0.5000 0.4658
Dy2 0.5000 0.5000 0.1337
Dy3 0.5000 0.0000 0.7428

Properties
Space-group type: No. 25

***

Q: What are the energies relative to the best structure? A: w) 0; x) 167, in meV per atom.

***

w) Computed, not measured: Dy3Cu after structural relaxation at the GGA-PBE level of DFT.

a = 3.6142 Å, b = 6.4206 Å, c = 9.4952 Å
α = 90.00°, β = 90.00°, γ = 106.35°
Element x y z (fractional)
Dy1 0.4346 0.8692 0.7500
Dy2 0.5654 0.1308 0.2500
Dy3 0.1348 0.2696 0.9396
Dy4 0.8652 0.7304 0.0604
Dy5 0.8652 0.7304 0.4396
Dy6 0.1348 0.2696 0.5604
Cu1 0.7463 0.4925 0.7500
Cu2 0.2537 0.5075 0.2500

Properties
Space-group type: No. 63

***

x) Computed, not measured: Dy3Cu after structural relaxation at the GGA-PBE level of DFT.

a = 4.9040 Å, b = 6.2702 Å, c = 7.5310 Å
α = 90.00°, β = 90.00°, γ = 113.02°
Element x y z (fractional)
Dy1 0.4559 0.9117 0.7500
Dy2 0.5441 0.0883 0.2500
Dy3 0.1476 0.2952 0.9685
Dy4 0.8524 0.7048 0.0315
Dy5 0.8524 0.7048 0.4685
Dy6 0.1476 0.2952 0.5315
Cu1 0.7008 0.4017 0.7500
Cu2 0.2992 0.5983 0.2500

Properties
Space-group type: No. 63

***

Q: What are the energies relative to the best structure? A: w) 0; x) 33, in meV per atom.

***

w) Computed, not measured: DyEr2Cu after structural relaxation at the GGA-PBE level of DFT.

a = 6.4440 Å, b = 6.7728 Å, c = 9.6264 Å
α = 90.00°, β = 90.00°, γ = 90.00°
Element x y z (fractional)
Dy1 0.6302 0.5160 0.2500
Dy2 0.8698 0.0160 0.2500
Dy3 0.3698 0.4840 0.7500
Dy4 0.1302 0.9840 0.7500
Er1 0.1862 0.6895 0.0591
Er2 0.3138 0.1895 0.4409
Er3 0.8138 0.3105 0.5591
Er4 0.6862 0.8105 0.9409
Er5 0.8138 0.3105 0.9409
Er6 0.6862 0.8105 0.5591
Er7 0.1862 0.6895 0.4409
Er8 0.3138 0.1895 0.0591
Cu1 0.0521 0.4045 0.2500
Cu2 0.4479 0.9045 0.2500
Cu3 0.9479 0.5955 0.7500
Cu4 0.5521 0.0955 0.7500

Properties
Space-group type: No. 62

***

x) Computed, not measured: DyEr2Cu after structural relaxation at the GGA-PBE level of DFT.

a = 3.5545 Å, b = 3.5545 Å, c = 10.0322 Å
α = 79.80°, β = 79.80°, γ = 60.00°
Element x y z (fractional)
Dy1 0.5000 0.5000 0.5000
Cu1 0.0000 0.0000 0.0000
Er1 0.7348 0.7348 0.7957
Er2 0.2652 0.2652 0.2043

Properties
Space-group type: No. 166

***

Q: What are the energies relative to the best structure? A: w) 0; x) 141, in meV per atom.

***

w) Computed, not measured: DyEr2Cu after structural relaxation at the GGA-PBE level of DFT.

a = 3.4556 Å, b = 3.4556 Å, c = 8.6394 Å
α = 90.00°, β = 90.00°, γ = 90.00°
Element x y z (fractional)
Dy1 0.5000 0.5000 0.5000
Cu1 0.5000 0.5000 0.0000
Er1 0.0000 0.0000 0.8025
Er2 0.0000 0.0000 0.1975

Properties
Space-group type: No. 123

***

x) Computed, not measured: DyEr2Cu after structural relaxation at the GGA-PBE level of DFT.

a = 4.8711 Å, b = 6.2394 Å, c = 7.4950 Å
α = 90.00°, β = 90.00°, γ = 112.94°
Element x y z (fractional)
Dy1 0.9555 0.9110 0.2500
Dy2 0.0445 0.0890 0.7500
Er1 0.3517 0.7034 0.5326
Er2 0.6483 0.2966 0.4674
Er3 0.3517 0.7034 0.9674
Er4 0.6483 0.2966 0.0326
Cu1 0.7988 0.5968 0.7500
Cu2 0.2012 0.4032 0.2500

Properties
Space-group type: No. 63

***

Q: What are the energies relative to the best structure? A: w) 0; x) 34, in meV per atom.